# Li7Mn2Co3O12 (GGA+U, relaxed)
data_Li7Mn2Co3O12
_space_group_name_H-M_alt 'P 1'
_space_group_IT_number 1
_space_group_name_Hall 'P 1'
_cell_length_a 2.942
_cell_length_b 6.420
_cell_length_c 11.914
_cell_angle_alpha 103.01
_cell_angle_beta 93.51
_cell_angle_gamma 102.69
loop_
_atom_site_label
_atom_site_fract_x
_atom_site_fract_y
_atom_site_fract_z
Li1 0.653 0.326 0.670
Li2 0.626 0.327 0.419
Li3 0.019 0.015 0.746
Li4 0.313 0.663 0.093
Li5 0.989 0.002 0.252
Li6 0.715 0.332 0.903
Li7 0.326 0.659 0.580
O1 0.196 0.357 0.796
O2 0.499 0.982 0.380
O3 0.829 0.669 0.722
O4 0.136 0.328 0.059
O5 0.457 0.993 0.613
O6 0.198 0.349 0.280
O7 0.882 0.679 0.944
O8 0.481 0.012 0.125
O9 0.134 0.301 0.532
O10 0.852 0.652 0.214
O11 0.536 0.992 0.880
O12 0.808 0.683 0.453
Co1 0.988 0.012 0.506
Co2 0.667 0.336 0.170
Co3 0.333 0.667 0.333
Mn1 0.349 0.658 0.827
Mn2 0.012 0.007 0.003
# - E_tot: -5.848 eV per atom
# - ΔE to the lowest computed polymorph: 49 meV/atom